1.
A plane-wave DFT calculation with PBE-GGA was carried out for an optimized crystal structure of PrThAgRh.

Cell: 7.3146 7.3146 7.3146 Å, 90.00 90.00 90.00°
With the nearest neighbours (Å) after each atom.
Space group F-43m (No. 216)
Unique sites:
Pr: 0.0000 0.0000 0.0000 x4  4 Rh 3.17, 4 Ag 3.17
Th: 0.0000 0.0000 0.5000 x4  4 Ag 3.17, 4 Rh 3.17
Ag: 0.2500 0.2500 0.7500 x4  4 Th 3.17, 4 Pr 3.17
Rh: 0.2500 0.2500 0.2500 x4  4 Th 3.17, 4 Pr 3.17

Values from the calculation:
Spin magnetization: 0.00 μB per cell
Calculated volume: 97.8 Å³/f.u.
Electronic total energy: -95.49 eV/cell
DOS(E_F): 16.46 states/eV per cell
Theoretical density: 9.91 Mg/m³

***

2.
A plane-wave DFT calculation with PBE-GGA was carried out for an optimized crystal structure of YMg3F.

Cell: 6.3164 6.3164 6.3164 Å, 90.00 90.00 90.00°
With the nearest neighbours (Å) after each atom.
Space group Pm-3m (No. 221)
Unique sites:
Y: 0.0000 0.0000 0.0000 x1  6 Mg 3.16
Mg: 0.0000 0.0000 0.5000 x3  2 Y 3.16
F: 0.5000 0.5000 0.5000 x1  12 Mg 4.47

Values from the calculation:
Spin magnetization: 0.00 μB per cell
Calculated volume: 252.0 Å³/f.u.
ΔE to the lowest computed polymorph: 7.028 eV/f.u.
Electronic total energy: -9.98 eV/cell
DOS(E_F): 3.81 states/eV per cell
Theoretical density: 1.19 Mg/m³

***

3.
A plane-wave DFT calculation with PBE-GGA was carried out for an optimized crystal structure of LaTb4Sc2.

Cell: 5.5975 5.5975 15.7431 Å, 90.00 90.00 90.00°
With the nearest neighbours (Å) after each atom.
Space group I4/mmm (No. 139)
Unique sites:
La: 0.0000 0.0000 0.0000 x2  6 Tb 2.80-2.98
Tb: 0.0000 0.0000 0.1891 x4  1 La 2.98, 1 Sc 3.26
Tb: 0.0000 0.5000 0.0000 x4  2 La 2.80
Sc: 0.0000 0.0000 0.3965 x4  5 Tb 3.24-3.26, 1 Sc 3.26

Values from the calculation:
Spin magnetization: 0.00 μB per cell
Calculated volume: 246.6 Å³/f.u.
ΔE to the lowest computed polymorph: 4.685 eV/f.u.
Electronic total energy: -62.04 eV/cell
DOS(E_F): 18.97 states/eV per cell
Theoretical density: 5.82 Mg/m³

***

4.
A plane-wave DFT calculation with PBE-GGA was carried out for an optimized crystal structure of AgAsCl2.

Cell: 3.5123 3.5123 25.7409 Å, 90.00 90.00 120.00°
With the nearest neighbours (Å) after each atom.
Space group R-3m (No. 166, hexagonal axes)
Unique sites:
Ag: 0.0000 0.0000 0.0000 x3  6 Cl 2.73
As: 0.0000 0.0000 0.5000 x3  2 Cl 2.46
Cl: 0.0000 0.0000 0.4043 x6  1 As 2.46, 3 Ag 2.73

Values from the calculation:
Spin magnetization: 0.00 μB per cell
Calculated volume: 91.7 Å³/f.u.
ΔE to the lowest computed polymorph: 0.545 eV/f.u.
Electronic total energy: -35.41 eV/cell
DOS(E_F): 2.19 states/eV per cell
Theoretical density: 4.60 Mg/m³